1.
CaPIrO2: optimized geometry, GGA-PBE.

## Properties
* volume: 19.94 Å³ per atom
* total magnetic moment: 0.569 μB/atom
* formation energy without anion corrections: 0.5746 eV/atom

Lattice parameters (Å, degrees): 3.9554 3.9554 6.3724 90.00 90.00 90.00
Fractional positions:
1 Ca 0.0000 0.0000 0.0000
2 P 0.0000 0.0000 0.5000
3 Ir 0.5000 0.5000 0.5000
4 O 0.0000 0.5000 0.0000
5 O 0.5000 0.0000 0.0000

=====

2.
Y4Ho5Sc: optimized geometry, GGA-PBE.

## Properties
* volume: 31.24 Å³ per atom
* total magnetic moment: 0.000 μB/atom
* formation energy: 12 kJ/mol of atoms

Lattice parameters (Å, degrees): 8.8715 8.8715 10.9012 106.75 106.75 22.39
Fractional positions:
1 Y 0.0921 0.0921 0.3078
2 Y 0.3036 0.3036 0.4150
3 Y 0.6964 0.6964 0.5850
4 Y 0.9079 0.9079 0.6922
5 Ho 0.1054 0.1054 0.7876
6 Ho 0.2068 0.2068 0.0973
7 Ho 0.5000 0.5000 0.0000
8 Ho 0.7932 0.7932 0.9027
9 Ho 0.8946 0.8946 0.2124
10 Sc 0.5000 0.5000 0.5000

=====

3.
Pr3Ge4: optimized geometry, GGA-PBE.

## Properties
* volume: 24.93 Å³ per atom
* total magnetic moment: 0.000 μB/atom
* formation energy: -75 kJ/mol of atoms

Lattice parameters (Å, degrees): 5.9559 5.9559 14.7091 90.00 90.00 138.01
Fractional positions:
1 Pr 0.0339 0.9661 0.7500
2 Pr 0.3237 0.6763 0.5968
3 Pr 0.3237 0.6763 0.9032
4 Pr 0.6763 0.3237 0.0968
5 Pr 0.6763 0.3237 0.4032
6 Pr 0.9661 0.0339 0.2500
7 Ge 0.0000 0.0000 0.0000
8 Ge 0.0000 0.0000 0.5000
9 Ge 0.2424 0.7576 0.2500
10 Ge 0.3875 0.6125 0.1089
11 Ge 0.3875 0.6125 0.3911
12 Ge 0.6125 0.3875 0.6089
13 Ge 0.6125 0.3875 0.8911
14 Ge 0.7576 0.2424 0.7500

=====

4.
CsIn2TcSn: optimized geometry, GGA-PBE.

## Properties
* volume: 30.35 Å³ per atom
* total magnetic moment: 0.000 μB/atom
* formation energy: -5 kJ/mol of atoms

Lattice parameters (Å, degrees): 5.3837 5.3837 5.2357 90.00 90.00 90.00
Fractional positions:
1 Cs 0.0000 0.0000 0.0000
2 In 0.0000 0.5000 0.5000
3 In 0.5000 0.0000 0.5000
4 Tc 0.5000 0.5000 0.5000
5 Sn 0.5000 0.5000 0.0000

=====

5.
AsRuPb2: optimized geometry, GGA-PBE.

## Properties
* volume: 21.85 Å³ per atom
* total magnetic moment: 0.002 μB/atom
* formation energy: 52 kJ/mol of atoms

Lattice parameters (Å, degrees): 5.0626 5.0626 3.4522 90.00 90.00 98.96
Fractional positions:
1 As 0.0000 0.0000 0.0000
2 Ru 0.5000 0.5000 0.0000
3 Pb 0.0000 0.5000 0.5000
4 Pb 0.5000 0.0000 0.5000

=====

6.
TcAs2Ir: optimized geometry, GGA-PBE.

## Properties
* volume: 15.28 Å³ per atom
* total magnetic moment: 0.000 μB/atom
* formation energy: 5 kJ/mol of atoms

Lattice parameters (Å, degrees): 4.3063 4.3063 5.1651 101.05 101.05 40.69
Fractional positions:
1 Tc 0.0000 0.0000 0.0000
2 As 0.2548 0.2548 0.7614
3 As 0.7452 0.7452 0.2386
4 Ir 0.5000 0.5000 0.5000

=====

7.
Sm4HoEr3S8: optimized geometry, GGA-PBE.

## Properties
* volume: 21.63 Å³ per atom
* total magnetic moment: 0.000 μB/atom
* formation energy without anion corrections: -1.9932 eV/atom

Lattice parameters (Å, degrees): 7.9351 7.9351 7.9351 59.11 59.11 59.11
Fractional positions:
1 Sm 0.0000 0.0000 0.0000
2 Sm 0.0000 0.5000 0.5000
3 Sm 0.5000 0.0000 0.5000
4 Sm 0.5000 0.5000 0.0000
5 Ho 0.5000 0.5000 0.5000
6 Er 0.0000 0.0000 0.5000
7 Er 0.0000 0.5000 0.0000
8 Er 0.5000 0.0000 0.0000
9 S 0.2443 0.7457 0.7457
10 S 0.2450 0.2450 0.2450
11 S 0.2543 0.2543 0.7557
12 S 0.2543 0.7557 0.2543
13 S 0.7457 0.2443 0.7457
14 S 0.7457 0.7457 0.2443
15 S 0.7550 0.7550 0.7550
16 S 0.7557 0.2543 0.2543

=====

8.
PmNiSb: optimized geometry, GGA-PBE.

## Properties
* volume: 22.67 Å³ per atom
* total magnetic moment: 0.000 μB/atom
* formation energy without anion corrections: -0.8690 eV/atom

Lattice parameters (Å, degrees): 4.5819 4.5819 4.5819 60.00 60.00 60.00
Fractional positions:
1 Pm 0.0000 0.0000 0.0000
2 Ni 0.7500 0.7500 0.7500
3 Sb 0.5000 0.5000 0.5000

=====

9.
RbAlH2: optimized geometry, GGA-PBE.

## Properties
* volume: 18.10 Å³ per atom
* total magnetic moment: 0.000 μB/atom
* final energy: -2.311 eV per atom

Lattice parameters (Å, degrees): 4.6782 4.6782 4.6782 60.00 60.00 60.00
Fractional positions:
1 Rb 0.0000 0.0000 0.0000
2 Al 0.5000 0.5000 0.5000
3 H 0.2500 0.2500 0.2500
4 H 0.7500 0.7500 0.7500

=====

10.
Yb2GeAu: optimized geometry, GGA-PBE.

## Properties
* volume: 22.85 Å³ per atom
* total magnetic moment: 0.000 μB/atom
* formation energy: -77 kJ/mol of atoms

Lattice parameters (Å, degrees): 5.0560 5.0560 5.0560 60.00 60.00 60.00
Fractional positions:
1 Yb 0.2500 0.2500 0.2500
2 Yb 0.7500 0.7500 0.7500
3 Ge 0.0000 0.0000 0.0000
4 Au 0.5000 0.5000 0.5000

=====

11.
CdGaHg2: optimized geometry, GGA-PBE.

## Properties
* volume: 23.52 Å³ per atom
* total magnetic moment: 0.000 μB/atom
* formation energy: 5 kJ/mol of atoms

Lattice parameters (Å, degrees): 3.4185 3.4185 8.0506 90.00 90.00 90.00
Fractional positions:
1 Cd 0.0000 0.0000 0.0000
2 Ga 0.0000 0.0000 0.5000
3 Hg 0.5000 0.5000 0.2579
4 Hg 0.5000 0.5000 0.7421

=====

12.
TbZrZn2: optimized geometry, GGA-PBE.

## Properties
* volume: 22.42 Å³ per atom
* total magnetic moment: 0.000 μB/atom
* formation energy: -5 kJ/mol of atoms

Lattice parameters (Å, degrees): 8.9838 8.9838 8.9838 22.06 22.06 22.06
Fractional positions:
1 Tb 0.0000 0.0000 0.0000
2 Zr 0.5000 0.5000 0.5000
3 Zn 0.2457 0.2457 0.2457
4 Zn 0.7543 0.7543 0.7543